Tl2ZnTc: optimized geometry, GGA-PBEsol.

E above lowest polymorph ... 5 meV/atom
Fermi-level density of states ... 2.54 states/eV/f.u.

```
data_Tl2ZnTc
_chemical_formula_sum 'Tl4 Zn2 Tc2'
_cell_length_a 10.782
_cell_length_b 3.081
_cell_length_c 4.855
_cell_angle_alpha 90.00
_cell_angle_beta 109.22
_cell_angle_gamma 90.00
_symmetry_space_group_name_H-M 'C 1 m 1'
_symmetry_Int_Tables_number 8
_symmetry_space_group_name_Hall 'C -2y'
loop_
_atom_site_label
_atom_site_type_symbol
_atom_site_fract_x
_atom_site_fract_y
_atom_site_fract_z
Tl1 Tl 0.000 0.000 0.000
Tl2 Tl 0.214 0.000 0.632
Zn1 Zn 0.275 0.500 0.181
Tc1 Tc 0.465 0.000 0.487
```